Entry 1:
HfCoNi2Sb: optimized geometry, PBE.

Geometry as POSCAR:
```
HfCoNi2Sb
1.0
4.555 0.000 0.000
0.000 5.305 0.000
0.000 0.000 4.555
Ni Sb Co Hf
2 1 1 1
direct
0.000 0.000 0.500 Ni
0.500 0.000 0.000 Ni
0.000 0.000 0.000 Sb
0.500 0.500 0.500 Co
0.000 0.500 0.000 Hf
```

## Properties
Crystal system: tetragonal
SG: P4/mmm, No. 123
Energy (eV/atom): -5.362

=====

Entry 2:
MnInSb2: optimized geometry, PBE.

Geometry as POSCAR:
```
MnInSb2
1.0
-2.011 -8.446 2.990
-1.975 -8.950 -0.555
1.091 -9.025 1.295
Sb Mn In
2 1 1
direct
0.019 0.019 0.019 Sb
0.481 0.481 0.481 Sb
0.750 0.750 0.750 Mn
0.250 0.250 0.250 In
```

## Properties
Crystal system: trigonal
SG: R-3m, No. 166
Energy (eV/atom): -4.933

=====

Entry 3:
Zr2TaHg: optimized geometry, PBE.

Geometry as POSCAR:
```
Zr2TaHg
1.0
5.410 0.000 0.000
1.951 5.046 0.000
-3.681 -2.523 3.059
Zr Hg Ta
2 1 1
direct
0.500 0.500 0.000 Zr
0.000 0.000 0.000 Zr
0.250 0.750 0.500 Hg
0.750 0.250 0.500 Ta
```

## Properties
Crystal system: tetragonal
SG: I4/mmm, No. 139
E_form (eV per atom): 0.075

=====

What did we get for theoretical density? Answer: 7.19; 6.91; 11.21 g/cm3, in the order shown.